# 1
Compound: LaPr2Nd5
Source: Alexandria
Functional: PBE
Structure: relaxed

Cell lengths 7.3853, 14.7806, 5.2450 Å; angles 90.00, 90.00, 90.00 degrees
Positions (direct):
La1 0.0000 0.0000 0.0000
La2 0.5000 0.5000 0.0000
Pr1 0.2495 0.1256 0.5000
Pr2 0.2505 0.6256 0.5000
Pr3 0.7495 0.3744 0.5000
Pr4 0.7505 0.8744 0.5000
Nd1 0.0000 0.2513 0.0000
Nd2 0.0000 0.5000 0.0000
Nd3 0.0000 0.7487 0.0000
Nd4 0.2501 0.3746 0.5000
Nd5 0.2499 0.8746 0.5000
Nd6 0.5000 0.0000 0.0000
Nd7 0.5000 0.2487 0.0000
Nd8 0.5000 0.7513 0.0000
Nd9 0.7501 0.1254 0.5000
Nd10 0.7499 0.6254 0.5000

**Magnetic moment**: 0.000 μB per atom
**Space group**: Pbam, No. 55

---

# 2
Compound: SrCaTlAu
Source: Alexandria
Functional: PBE
Structure: relaxed

Cell lengths 5.4616, 5.4616, 5.4616 Å; angles 60.00, 60.00, 60.00 degrees
Positions (direct):
Sr1 0.0000 0.0000 0.0000
Ca1 0.5000 0.5000 0.5000
Tl1 0.2500 0.2500 0.2500
Au1 0.7500 0.7500 0.7500

**Magnetic moment**: 0.000 μB per atom
**Space group**: F-43m, No. 216

---

no.,raw total energy (eV/atom)
1,-4.777
2,-2.860